Entry 1:
Computed, not measured: a relaxed YMgOs crystal at the PBEsol level of DFT.

Cell and atoms, written as POSCAR:
```
YMgOs
1.0
-0.699 2.989 -1.279
-3.412 0.460 2.940
4.148 1.442 1.102
Mg Os Y
1 1 1
Cartesian
-0.596 2.545 -1.089
-1.459 3.209 1.291
1.392 2.124 1.283
```

Computed properties:
The density is 8.54 g/cm3. The calculated formation energy is 0.153 eV/atom. Its magnetization is 0.0 μB/cell.


Entry 2:
Computed, not measured: a relaxed MgZnOs crystal at the PBEsol level of DFT.

Cell and atoms, written as POSCAR:
```
MgZnOs
1.0
2.727 0.000 0.000
0.000 2.727 0.000
-1.363 -1.363 6.129
Mg Os Zn
1 1 1
Cartesian
0.000 0.000 0.064
1.363 1.363 2.097
0.000 0.000 3.969
```

Computed properties:
The density is 10.20 g/cm3. The calculated formation energy is 0.281 eV/atom. Its magnetization is 0.0 μB/cell. The energy above the most stable polymorph in this dataset is 0.4 kJ/mol of formula units.


Entry 3:
Computed, not measured: a relaxed MgZnOs2 crystal at the PBEsol level of DFT.

Cell and atoms, written as POSCAR:
```
MgZnOs2
1.0
4.131 0.000 0.000
0.000 3.744 0.000
0.000 0.000 3.744
Mg Os Zn
1 2 1
Cartesian
2.066 0.000 0.000
0.000 0.000 1.872
0.000 1.872 0.000
2.066 1.872 1.872
```

Computed properties:
The density is 13.48 g/cm3. The calculated formation energy is 0.397 eV/atom. Its magnetization is 0.0 μB/cell.